Entry 1:
Compound: PuCo2Si4
Source: Alexandria via LeMat-Bulk
Functional: GGA-PBE
Structure: optimized geometry

a = 3.9567 Å, b = 6.1402 Å, c = 16.1841 Å
α = 90.00°, β = 90.00°, γ = 90.00°
Sites, in units of the cell vectors:
Pu 0.7500 0.0079 0.6393
Pu 0.2500 0.9921 0.3607
Pu 0.2500 0.5079 0.8607
Pu 0.7500 0.4921 0.1393
Co 0.2500 0.7438 0.5339
Co 0.7500 0.2562 0.4661
Co 0.7500 0.2438 0.9661
Co 0.2500 0.7562 0.0339
Co 0.2500 0.9881 0.7887
Co 0.7500 0.0119 0.2113
Co 0.7500 0.4881 0.7113
Co 0.2500 0.5119 0.2887
Si 0.2500 0.2880 0.6992
Si 0.7500 0.7120 0.3008
Si 0.7500 0.7880 0.8008
Si 0.2500 0.2120 0.1992
Si 0.2500 0.6922 0.6837
Si 0.7500 0.3078 0.3163
Si 0.7500 0.1922 0.8163
Si 0.2500 0.8078 0.1837
Si 0.2500 0.1428 0.5286
Si 0.7500 0.8572 0.4714
Si 0.7500 0.6428 0.9714
Si 0.2500 0.3572 0.0286
Si 0.2500 0.4770 0.4315
Si 0.7500 0.5230 0.5685
Si 0.7500 0.9770 0.0685
Si 0.2500 0.0230 0.9315


Entry 2:
Compound: Pu3CoSi3
Source: Alexandria via LeMat-Bulk
Functional: GGA-PBE
Structure: optimized geometry

a = 4.1476 Å, b = 5.6453 Å, c = 12.5575 Å
α = 85.63°, β = 80.49°, γ = 68.45°
Sites, in units of the cell vectors:
Pu 0.5146 0.3451 0.6258
Pu 0.4854 0.6549 0.3742
Pu 0.2334 0.3073 0.2259
Pu 0.7666 0.6927 0.7741
Pu 0.4034 0.2820 0.9112
Pu 0.5966 0.7180 0.0888
Co 0.7497 0.0772 0.4233
Co 0.2503 0.9228 0.5767
Si 0.8602 0.7371 0.5424
Si 0.1398 0.2629 0.4576
Si 0.1096 0.8546 0.9262
Si 0.8904 0.1454 0.0738
Si 0.9226 0.9077 0.2471
Si 0.0774 0.0923 0.7529


Entry 3:
Compound: PuCo2Si
Source: Alexandria via LeMat-Bulk
Functional: GGA-PBE
Structure: optimized geometry

a = 3.7074 Å, b = 3.7074 Å, c = 9.0640 Å
α = 90.00°, β = 90.00°, γ = 90.00°
Sites, in units of the cell vectors:
Pu 0.5000 0.0000 0.1997
Pu 0.0000 0.5000 0.8003
Co 0.5000 0.0000 0.8998
Co 0.0000 0.5000 0.1002
Co 0.0000 0.0000 0.5000
Co 0.5000 0.5000 0.5000
Si 0.5000 0.0000 0.6406
Si 0.0000 0.5000 0.3594


Entry 4:
Compound: Pu3Co2Si3
Source: Alexandria via LeMat-Bulk
Functional: GGA-PBE
Structure: optimized geometry

a = 5.5134 Å, b = 7.4880 Å, c = 13.8887 Å
α = 90.00°, β = 90.00°, γ = 90.00°
Sites, in units of the cell vectors:
Pu 0.1085 0.4700 0.3901
Pu 0.6085 0.0300 0.6099
Pu 0.8915 0.5300 0.8901
Pu 0.3915 0.9700 0.1099
Pu 0.8915 0.5300 0.6099
Pu 0.3915 0.9700 0.3901
Pu 0.1085 0.4700 0.1099
Pu 0.6085 0.0300 0.8901
Pu 0.5844 0.3157 0.2500
Pu 0.0844 0.1843 0.7500
Pu 0.4156 0.6843 0.7500
Pu 0.9156 0.8157 0.2500
Co 0.8676 0.1301 0.4013
Co 0.3676 0.3699 0.5987
Co 0.1324 0.8699 0.9013
Co 0.6324 0.6301 0.0987
Co 0.1324 0.8699 0.5987
Co 0.6324 0.6301 0.4013
Co 0.8676 0.1301 0.0987
Co 0.3676 0.3699 0.9013
Si 0.0752 0.1739 0.2500
Si 0.5752 0.3261 0.7500
Si 0.9248 0.8261 0.7500
Si 0.4248 0.6739 0.2500
Si 0.5992 0.3388 0.4613
Si 0.0992 0.1612 0.5387
Si 0.4008 0.6612 0.9613
Si 0.9008 0.8388 0.0387
Si 0.4008 0.6612 0.5387
Si 0.9008 0.8388 0.4613
Si 0.5992 0.3388 0.0387
Si 0.0992 0.1612 0.9613


Number 1: N(E_F) 43.31 states/eV/cell, formation energy from raw total energies -49.8 kJ/mol of atoms, E_tot -215.4 eV per cell. Number 2: N(E_F) 45.75 states/eV/cell, formation energy from raw total energies -44.3 kJ/mol of atoms, E_tot -139.2 eV per cell. Number 3: N(E_F) 15.40 states/eV/cell, formation energy from raw total energies -29.9 kJ/mol of atoms, E_tot -70.4 eV per cell. Number 4: N(E_F) 102.17 states/eV/cell, formation energy from raw total energies -42.1 kJ/mol of atoms, E_tot -307.9 eV per cell.